A plane-wave DFT calculation with GGA-PBE was carried out for a relaxed Mg4Te crystal.

Results
Symmetry   Pm-3m (221)
Formation energy (no corrections)   0.3307 eV/atom
Energy above the most stable polymorph in this dataset   0.345 eV/atom

abc: 5.521 5.521 5.521
angles: 90.00 90.00 90.00
Element x y z (fractional)
Mg1 0.000 0.000 0.000
Mg2 0.500 0.000 0.500
Mg3 0.000 0.500 0.500
Mg4 0.500 0.500 0.000
Te1 0.500 0.500 0.500



A plane-wave DFT calculation with GGA-PBE was carried out for a relaxed TbPrO crystal.

Results
Symmetry   Cm (8)
Formation energy (no corrections)   -1.7759 eV/atom
Energy above the most stable polymorph in this dataset   0.000 eV/atom

abc: 3.679 3.679 12.682
angles: 89.84 98.49 120.05
Element x y z (fractional)
O1 0.226 0.528 0.754
O2 0.866 0.352 0.217
Tb1 0.598 0.213 0.811
Tb2 0.587 0.711 0.299
Pr1 0.095 0.463 0.558
Pr2 0.109 0.974 0.082



A plane-wave DFT calculation with GGA-PBE was carried out for a relaxed TbDyH crystal.

Results
Symmetry   P3m1 (156)
Energy above the most stable polymorph in this dataset   0.000 eV/atom

abc: 3.627 3.627 5.593
angles: 90.00 90.00 120.00
Element x y z (fractional)
H1 0.333 0.667 0.666
Dy1 0.667 0.333 0.424
Tb1 0.000 0.000 0.911



A plane-wave DFT calculation with GGA-PBE was carried out for a relaxed Tl2CuNO crystal.

Results
Symmetry   P4/mmm (123)
Formation energy (no corrections)   0.6169 eV/atom

abc: 5.382 3.467 5.382
angles: 90.00 90.00 90.00
Element x y z (fractional)
N1 0.000 0.500 0.000
Cu1 0.000 0.000 0.000
O1 0.500 0.500 0.500
Tl1 0.500 0.000 0.000
Tl2 0.000 0.000 0.500



A plane-wave DFT calculation with GGA-PBE was carried out for a relaxed La2CuAu crystal.

Results
Symmetry   Cmmm (65)

abc: 8.360 5.284 3.730
angles: 90.04 63.45 129.30
Element x y z (fractional)
La1 0.500 0.000 0.500
La2 0.000 0.000 0.000
Au1 0.000 0.500 0.500
Cu1 0.500 0.500 0.000



A plane-wave DFT calculation with GGA-PBE was carried out for a relaxed GdLuScIn crystal.

Results
Symmetry   F-43m (216)

abc: 5.297 5.297 5.297
angles: 60.00 60.00 60.00
Element x y z (fractional)
In1 0.750 0.750 0.750
Sc1 0.000 0.000 0.000
Lu1 0.250 0.250 0.250
Gd1 0.500 0.500 0.500



A plane-wave DFT calculation with GGA-PBE was carried out for a relaxed Rb3Ho3PuTe8 crystal.

Results
Symmetry   R-3m (166)
Formation energy (no corrections)   -1.2555 eV/atom

abc: 8.915 8.914 10.120
angles: 116.14 90.00 120.01
Element x y z (fractional)
Pu1 0.000 0.000 0.500
Te1 0.233 0.963 0.696
Te2 0.233 0.466 0.696
Te3 0.269 0.037 0.304
Te4 0.267 0.534 0.302
Te5 0.767 0.037 0.304
Te6 0.731 0.963 0.696
Te7 0.767 0.534 0.304
Te8 0.733 0.466 0.698
Rb1 0.500 0.500 0.000
Rb2 0.000 0.500 0.000
Rb3 0.000 0.000 0.000
Ho1 0.500 0.500 0.500
Ho2 0.500 0.000 0.500
Ho3 0.000 0.500 0.500



A plane-wave DFT calculation with GGA-PBE was carried out for a relaxed La2Cu2SnRh5 crystal.

Results
Symmetry   P4/mbm (127)

abc: 3.870 9.593 9.593
angles: 90.00 90.00 90.00
Element x y z (fractional)
Cu1 0.000 0.378 0.122
Cu2 0.000 0.622 0.878
Cu3 0.000 0.878 0.378
Cu4 0.000 0.122 0.622
Rh1 0.500 0.931 0.209
Rh2 0.500 0.291 0.569
Rh3 0.500 0.791 0.931
Rh4 0.500 0.709 0.431
Rh5 0.500 0.569 0.709
Rh6 0.500 0.000 0.500
Rh7 0.500 0.209 0.069
Rh8 0.500 0.069 0.791
Rh9 0.500 0.500 0.000
Rh10 0.500 0.431 0.291
Sn1 0.000 0.000 0.000
Sn2 0.000 0.500 0.500
La1 0.000 0.175 0.325
La2 0.000 0.675 0.175
La3 0.000 0.325 0.825
La4 0.000 0.825 0.675



| no. | DFT total energy (eV/cell) |
| --- | --- |
| 1 | -7.866 |
| 2 | -39.391 |
| 3 | -13.308 |
| 4 | -19.028 |
| 5 | -19.033 |
| 6 | -28.261 |
| 7 | -74.934 |
| 8 | -127.717 |